The following is a PBE calculation of a geometry-optimized Dy5MgIn3 structure, from Alexandria via LeMat-Bulk.

Crystal system: hexagonal

```
data_Dy5MgIn3
_cell_length_a 9.2949
_cell_length_b 9.2949
_cell_length_c 6.6118
_cell_angle_alpha 90.00
_cell_angle_beta 90.00
_cell_angle_gamma 120.00
_space_group_name_H-M_alt 'P 63/m c m'
_space_group_IT_number 193
_space_group_name_Hall '-P 6c 2'
loop_
_atom_site_label
_atom_site_type_symbol
_atom_site_fract_x
_atom_site_fract_y
_atom_site_fract_z
Dy1 Dy 0.0000 0.3054 0.2500
Dy2 Dy 0.3333 0.6667 0.0000
Mg1 Mg 0.0000 0.0000 0.0000
In1 In 0.0000 0.3571 0.7500
```

***

The following is a PBE calculation of a geometry-optimized Dy4Mg5In2 structure, from Alexandria via LeMat-Bulk.

Crystal system: monoclinic

```
data_Dy4Mg5In2
_cell_length_a 8.0907
_cell_length_b 3.4880
_cell_length_c 10.4739
_cell_angle_alpha 90.00
_cell_angle_beta 94.19
_cell_angle_gamma 90.00
_space_group_name_H-M_alt 'P 1 2/m 1'
_space_group_IT_number 10
_space_group_name_Hall '-P 2y'
loop_
_atom_site_label
_atom_site_type_symbol
_atom_site_fract_x
_atom_site_fract_y
_atom_site_fract_z
Dy1 Dy 0.1578 0.0000 0.3868
Dy2 Dy 0.2791 0.0000 0.9441
Mg1 Mg 0.1982 0.5000 0.6660
Mg2 Mg 0.4314 0.5000 0.2076
Mg3 Mg 0.5000 0.5000 0.5000
In1 In 0.0588 0.5000 0.1369
```

***

The following is a PBE calculation of a geometry-optimized Dy12MgIn3 structure, from Alexandria via LeMat-Bulk.

Crystal system: tetragonal

```
data_Dy12MgIn3
_cell_length_a 4.8555
_cell_length_b 4.8555
_cell_length_c 19.4475
_cell_angle_alpha 90.00
_cell_angle_beta 90.00
_cell_angle_gamma 90.00
_space_group_name_H-M_alt 'P 4/m m m'
_space_group_IT_number 123
_space_group_name_Hall '-P 4 2'
loop_
_atom_site_label
_atom_site_type_symbol
_atom_site_fract_x
_atom_site_fract_y
_atom_site_fract_z
Dy1 Dy 0.0000 0.0000 0.0000
Dy2 Dy 0.0000 0.0000 0.2492
Dy3 Dy 0.0000 0.0000 0.5000
Dy4 Dy 0.0000 0.5000 0.1243
Dy5 Dy 0.0000 0.5000 0.3732
Mg1 Mg 0.5000 0.5000 0.5000
In1 In 0.5000 0.5000 0.0000
In2 In 0.5000 0.5000 0.2484
```

***

The following is a PBE calculation of a geometry-optimized Dy2Mg3In2 structure, from Alexandria via LeMat-Bulk.

Crystal system: orthorhombic

```
data_Dy2Mg3In2
_cell_length_a 4.7313
_cell_length_b 22.0393
_cell_length_c 3.4757
_cell_angle_alpha 90.00
_cell_angle_beta 90.00
_cell_angle_gamma 90.00
_space_group_name_H-M_alt 'C m m m'
_space_group_IT_number 65
_space_group_name_Hall '-C 2 2'
loop_
_atom_site_label
_atom_site_type_symbol
_atom_site_fract_x
_atom_site_fract_y
_atom_site_fract_z
Dy1 Dy 0.0000 0.1552 0.0000
Mg1 Mg 0.0000 0.0000 0.0000
Mg2 Mg 0.0000 0.4294 0.5000
In1 In 0.0000 0.2895 0.5000
```

***

The following is a PBE calculation of a geometry-optimized DyMg5In6 structure, from Alexandria via LeMat-Bulk.

Crystal system: monoclinic

```
data_DyMg5In6
_cell_length_a 9.7722
_cell_length_b 14.2189
_cell_length_c 4.6579
_cell_angle_alpha 90.00
_cell_angle_beta 118.15
_cell_angle_gamma 90.00
_space_group_name_H-M_alt 'C 1 2/m 1'
_space_group_IT_number 12
_space_group_name_Hall '-C 2y'
loop_
_atom_site_label
_atom_site_type_symbol
_atom_site_fract_x
_atom_site_fract_y
_atom_site_fract_z
Dy1 Dy 0.0000 0.0000 0.0000
Mg1 Mg 0.0000 0.1699 0.5000
Mg2 Mg 0.0000 0.3317 0.0000
Mg3 Mg 0.0000 0.5000 0.5000
In1 In 0.2440 0.5000 0.2436
In2 In 0.2500 0.1695 0.2498
```

***

The following is a PBE calculation of a geometry-optimized Dy9MgIn2 structure, from Alexandria via LeMat-Bulk.

Crystal system: tetragonal

```
data_Dy9MgIn2
_cell_length_a 4.8623
_cell_length_b 4.8623
_cell_length_c 14.5927
_cell_angle_alpha 90.00
_cell_angle_beta 90.00
_cell_angle_gamma 90.00
_space_group_name_H-M_alt 'P 4/m m m'
_space_group_IT_number 123
_space_group_name_Hall '-P 4 2'
loop_
_atom_site_label
_atom_site_type_symbol
_atom_site_fract_x
_atom_site_fract_y
_atom_site_fract_z
Dy1 Dy 0.0000 0.0000 0.0000
Dy2 Dy 0.0000 0.0000 0.3329
Dy3 Dy 0.0000 0.5000 0.1685
Dy4 Dy 0.0000 0.5000 0.5000
Mg1 Mg 0.5000 0.5000 0.0000
In1 In 0.5000 0.5000 0.3353
```

***

The following is a PBE calculation of a geometry-optimized DyMgIn structure, from Alexandria via LeMat-Bulk.

Crystal system: trigonal

```
data_DyMgIn
_cell_length_a 3.3152
_cell_length_b 3.3152
_cell_length_c 27.1042
_cell_angle_alpha 90.00
_cell_angle_beta 90.00
_cell_angle_gamma 120.00
_space_group_name_H-M_alt 'R 3 m'
_space_group_IT_number 160
_space_group_name_Hall 'R 3 -2"'
loop_
_atom_site_label
_atom_site_type_symbol
_atom_site_fract_x
_atom_site_fract_y
_atom_site_fract_z
Dy1 Dy 0.0000 0.0000 0.0000
Mg1 Mg 0.0000 0.0000 0.7690
In1 In 0.0000 0.0000 0.8800
```

***

The following is a PBE calculation of a geometry-optimized DyMg4In15 structure, from Alexandria via LeMat-Bulk.

Crystal system: tetragonal

```
data_DyMg4In15
_cell_length_a 4.6351
_cell_length_b 4.6351
_cell_length_c 23.2404
_cell_angle_alpha 90.00
_cell_angle_beta 90.00
_cell_angle_gamma 90.00
_space_group_name_H-M_alt 'P 4/m m m'
_space_group_IT_number 123
_space_group_name_Hall '-P 4 2'
loop_
_atom_site_label
_atom_site_type_symbol
_atom_site_fract_x
_atom_site_fract_y
_atom_site_fract_z
Dy1 Dy 0.0000 0.0000 0.0000
Mg1 Mg 0.0000 0.0000 0.2003
Mg2 Mg 0.0000 0.0000 0.3997
In1 In 0.0000 0.5000 0.1022
In2 In 0.0000 0.5000 0.3002
In3 In 0.0000 0.5000 0.5000
In4 In 0.5000 0.5000 0.0000
In5 In 0.5000 0.5000 0.2015
In6 In 0.5000 0.5000 0.4005
```

***

The following is a PBE calculation of a geometry-optimized Dy3Mg7In2 structure, from Alexandria via LeMat-Bulk.

Crystal system: trigonal

```
data_Dy3Mg7In2
_cell_length_a 6.0274
_cell_length_b 6.0274
_cell_length_c 28.9515
_cell_angle_alpha 90.00
_cell_angle_beta 90.00
_cell_angle_gamma 120.00
_space_group_name_H-M_alt 'R -3 m'
_space_group_IT_number 166
_space_group_name_Hall '-R 3 2"'
loop_
_atom_site_label
_atom_site_type_symbol
_atom_site_fract_x
_atom_site_fract_y
_atom_site_fract_z
Dy1 Dy 0.0000 0.0000 0.0000
Dy2 Dy 0.0000 0.0000 0.1450
Mg1 Mg 0.0000 0.0000 0.5000
Mg2 Mg 0.0058 0.5029 0.9163
In1 In 0.0000 0.0000 0.3345
```

***

The following is a PBE calculation of a geometry-optimized Dy12Mg2In5 structure, from Alexandria via LeMat-Bulk.

Crystal system: monoclinic

```
data_Dy12Mg2In5
_cell_length_a 13.4769
_cell_length_b 9.5770
_cell_length_c 8.5189
_cell_angle_alpha 90.00
_cell_angle_beta 95.15
_cell_angle_gamma 90.00
_space_group_name_H-M_alt 'C 1 2/m 1'
_space_group_IT_number 12
_space_group_name_Hall '-C 2y'
loop_
_atom_site_label
_atom_site_type_symbol
_atom_site_fract_x
_atom_site_fract_y
_atom_site_fract_z
Dy1 Dy 0.0841 0.0000 0.1807
Dy2 Dy 0.0960 0.5000 0.6406
Dy3 Dy 0.1179 0.2025 0.8640
Dy4 Dy 0.1471 0.3184 0.2916
Mg1 Mg 0.0000 0.1695 0.5000
In1 In 0.0000 0.5000 0.0000
In2 In 0.1843 0.0000 0.5318
In3 In 0.2191 0.5000 0.9800
```

***

The following is a PBE calculation of a geometry-optimized Dy6MgIn structure, from Alexandria via LeMat-Bulk.

Relative energy among the computed polymorphs, eV/atom: 0.000
Crystal system: tetragonal

```
data_Dy6MgIn
_cell_length_a 4.8790
_cell_length_b 4.8790
_cell_length_c 9.7474
_cell_angle_alpha 90.00
_cell_angle_beta 90.00
_cell_angle_gamma 90.00
_space_group_name_H-M_alt 'P 4/m m m'
_space_group_IT_number 123
_space_group_name_Hall '-P 4 2'
loop_
_atom_site_label
_atom_site_type_symbol
_atom_site_fract_x
_atom_site_fract_y
_atom_site_fract_z
Dy1 Dy 0.0000 0.0000 0.0000
Dy2 Dy 0.0000 0.0000 0.5000
Dy3 Dy 0.0000 0.5000 0.2476
Mg1 Mg 0.5000 0.5000 0.5000
In1 In 0.5000 0.5000 0.0000
```

***

The following is a PBE calculation of a geometry-optimized DyMg3In3 structure, from Alexandria via LeMat-Bulk.

Crystal system: cubic

```
data_DyMg3In3
_cell_length_a 7.7307
_cell_length_b 7.7307
_cell_length_c 7.7307
_cell_angle_alpha 90.00
_cell_angle_beta 90.00
_cell_angle_gamma 90.00
_space_group_name_H-M_alt 'P m -3 n'
_space_group_IT_number 223
_space_group_name_Hall '-P 4n 2 3'
loop_
_atom_site_label
_atom_site_type_symbol
_atom_site_fract_x
_atom_site_fract_y
_atom_site_fract_z
Dy1 Dy 0.0000 0.0000 0.0000
Mg1 Mg 0.0000 0.2500 0.5000
In1 In 0.0000 0.5000 0.2500
```

***

Calculated values (Ry/atom) of electronic total energy for the records, taken in order: -0.295, -0.224, -0.313, -0.220, -0.190, -0.309, -0.209, -0.199, -0.195, -0.290, -0.302, -0.147.